First-principles (meta-GGA SCAN) data for a PBEsol-optimized structure of Sr3NbSi, as listed in Alexandria via LeMat-Bulk.

Cell lengths 5.912, 5.912, 5.912 Å; angles 90.00, 90.00, 90.00 degrees
Last column: magnetic moment on the atom in μB.
Positions (direct):
1 Sr 0.000 0.500 0.000  0.03
2 Sr 0.000 0.000 0.500  0.03
3 Sr 0.500 0.000 0.000  0.03
4 Nb 0.500 0.500 0.500  2.87
5 Si 0.000 0.000 0.000  -0.04

E ... -21.373 eV per atom
Theoretical density ... 3.08 Mg/m³
Formation energy without anion corrections ... 0.6210 eV per atom


First-principles (meta-GGA SCAN) data for a PBEsol-optimized structure of Be3Fe5, as listed in Alexandria via LeMat-Bulk.

Cell lengths 3.460, 4.735, 4.735 Å; angles 98.11, 90.00, 90.00 degrees
Last column: magnetic moment on the atom in μB.
Positions (direct):
1 Be 0.000 0.500 0.500  -0.08
2 Be 0.500 0.764 0.236  -0.13
3 Be 0.500 0.236 0.764  -0.13
4 Fe 0.000 0.000 0.000  2.37
5 Fe 0.000 0.000 0.500  2.42
6 Fe 0.000 0.500 0.000  2.42
7 Fe 0.500 0.270 0.270  2.37
8 Fe 0.500 0.730 0.730  2.37

E ... -13.112 eV per atom
Theoretical density ... 6.62 Mg/m³
Distance to the lowest polymorph of the same formula ... 0.000 eV/atom
DFT formation energy ... -0.15 eV/atom


First-principles (meta-GGA SCAN) data for a PBEsol-optimized structure of Na2MgCrF7, as listed in Alexandria via LeMat-Bulk.

Cell lengths 7.159, 7.245, 7.245 Å; angles 61.38, 60.39, 60.39 degrees
Last column: magnetic moment on the atom in μB.
Positions (direct):
1 Na 0.000 0.000 0.000  0.00
2 Na 0.500 0.500 0.500  0.00
3 Na 0.500 0.000 0.500  0.00
4 Na 0.000 0.000 0.500  0.00
5 Mg 0.500 0.500 0.000  0.00
6 Mg 0.000 0.500 0.000  0.00
7 Cr 0.000 0.500 0.500  2.83
8 Cr 0.500 0.000 0.000  2.83
9 F 0.091 0.181 0.636  0.01
10 F 0.409 0.864 0.319  0.01
11 F 0.918 0.449 0.320  0.01
12 F 0.582 0.180 0.051  0.01
13 F 0.187 0.180 0.051  0.01
14 F 0.313 0.449 0.320  0.01
15 F 0.687 0.551 0.680  0.01
16 F 0.813 0.820 0.949  0.01
17 F 0.418 0.820 0.949  0.01
18 F 0.082 0.551 0.680  0.01
19 F 0.750 0.401 0.099  0.00
20 F 0.909 0.819 0.364  0.01
21 F 0.591 0.136 0.681  0.01
22 F 0.250 0.599 0.901  0.00

E ... -8.437 eV per atom
Theoretical density ... 3.14 Mg/m³
Formation energy without anion corrections ... -3.2945 eV per atom


First-principles (meta-GGA SCAN) data for a PBEsol-optimized structure of MnInFe2, as listed in Alexandria via LeMat-Bulk.

Cell lengths 3.189, 4.158, 4.817 Å; angles 115.57, 109.33, 90.00 degrees
Last column: magnetic moment on the atom in μB.
Positions (direct):
1 Fe 0.011 0.011 0.021  2.60
2 Fe 0.731 0.231 0.463  2.63
3 In 0.495 0.495 0.989  -0.21
4 Mn 0.264 0.764 0.527  3.41

E ... -21.892 eV per atom
Theoretical density ... 8.72 Mg/m³
DFT formation energy ... 0.08 eV/atom


First-principles (meta-GGA SCAN) data for a PBEsol-optimized structure of TlHgPb2, as listed in Alexandria via LeMat-Bulk.

Cell lengths 3.471, 3.471, 9.075 Å; angles 90.00, 90.00, 90.00 degrees
Positions (direct):
1 Pb 0.000 0.000 0.735
2 Pb 0.000 0.000 0.265
3 Tl 0.500 0.500 0.000
4 Hg 0.500 0.500 0.500

E ... -72.999 eV per atom
Theoretical density ... 12.44 Mg/m³
DFT formation energy ... 0.02 eV/atom


First-principles (meta-GGA SCAN) data for a PBEsol-optimized structure of TaMn2Fe, as listed in Alexandria via LeMat-Bulk.

Cell lengths 4.118, 4.118, 4.118 Å; angles 60.00, 60.00, 60.00 degrees
Last column: magnetic moment on the atom in μB.
Positions (direct):
1 Fe 0.500 0.500 0.500  1.10
2 Mn 0.000 0.000 0.000  -1.42
3 Mn 0.750 0.750 0.750  3.25
4 Ta 0.250 0.250 0.250  0.07

E ... -30.402 eV per atom
Theoretical density ... 11.66 Mg/m³
DFT formation energy ... -0.10 eV/atom